! Er3Zn6Ag5 PBE optimized geometry; values from VASP
&SYSTEM
  ibrav = 0, nat = 14, ntyp = 3
/
ATOMIC_SPECIES
Er 167.26 Er.upf
Zn 65.41 Zn.upf
Ag 107.87 Ag.upf
CELL_PARAMETERS angstrom
-2.2088 4.6850 6.4905
2.2088 -4.6850 6.4905
2.2088 4.6850 -6.4905
ATOMIC_POSITIONS crystal
Er 0.0000 0.0000 0.0000
Er 0.2960 0.2960 0.0000
Er 0.7040 0.7040 0.0000
Zn 0.1560 0.8690 0.2870
Zn 0.3210 0.5000 0.8210
Zn 0.4180 0.1310 0.2870
Zn 0.5820 0.8690 0.7130
Zn 0.6790 0.5000 0.1790
Zn 0.8440 0.1310 0.7130
Ag 0.0167 0.6631 0.3537
Ag 0.3094 0.6631 0.6463
Ag 0.5000 0.0000 0.5000
Ag 0.6906 0.3369 0.3537
Ag 0.9833 0.3369 0.6463
! energy relative to the elements	-3.335	eV/f.u.
! crystal system	orthorhombic